Ba2MoAu: relaxed, PBEsol.

Lattice parameters (Å, degrees): 3.2590 3.9278 9.7931 94.58 90.00 114.51
Each line ends with the local moment (μB).
Fractional coordinates of all 4 atoms:
Ba  0.7574  0.5147  0.7518  0.01
Ba  0.2426  0.4853  0.2482  0.01
Mo  0.0000  0.0000  0.5000  0.91
Au  0.5000  0.0000  0.0000  0.00

Space-group type: C2/m, No. 12

YGa2Pd2: relaxed, PBEsol.

Lattice parameters (Å, degrees): 4.0082 4.0082 6.3136 108.51 108.51 90.00
Fractional coordinates of all 5 atoms:
Y  0.0000  0.0000  0.0000
Pd  0.3842  0.3842  0.7685
Pd  0.6158  0.6158  0.2315
Ga  0.2500  0.7500  0.5000
Ga  0.7500  0.2500  0.5000

Space-group type: I4/mmm, No. 139

CaScTe2: relaxed, PBEsol.

Lattice parameters (Å, degrees): 4.2604 4.2604 6.0107 90.00 90.00 90.00
Fractional coordinates of all 4 atoms:
Te  0.0000  0.0000  0.0000
Te  0.5000  0.5000  0.5000
Ca  0.5000  0.5000  0.0000
Sc  0.0000  0.0000  0.5000

Raw formation energy, eV/atom: -1.339
Space-group type: P4/mmm, No. 123

RbCrS3: relaxed, PBEsol.

Lattice parameters (Å, degrees): 4.6217 4.6217 4.6217 90.00 90.00 90.00
Each line ends with the local moment (μB).
Fractional coordinates of all 5 atoms:
S  0.0000  0.0000  0.5000  -0.10
S  0.5000  0.0000  0.0000  -0.10
S  0.0000  0.5000  0.0000  -0.10
Cr  0.0000  0.0000  0.0000  1.86
Rb  0.5000  0.5000  0.5000  0.00

Raw formation energy, eV/atom: -0.433
Space-group type: Pm-3m, No. 221

CuIrCl3: relaxed, PBEsol.

Lattice parameters (Å, degrees): 4.5507 4.5507 4.5507 90.00 90.00 90.00
Each line ends with the local moment (μB).
Fractional coordinates of all 5 atoms:
Cu  0.0000  0.0000  0.0000  0.01
Ir  0.5000  0.5000  0.5000  2.05
Cl  0.5000  0.0000  0.0000  0.10
Cl  0.0000  0.5000  0.0000  0.10
Cl  0.0000  0.0000  0.5000  0.10

Raw formation energy, eV/atom: 0.845
Space-group type: Pm-3m, No. 221

Ba11C2N10: relaxed, PBEsol.

Lattice parameters (Å, degrees): 4.0856 16.2137 16.2137 90.00 90.00 90.00
Fractional coordinates of all 46 atoms:
Ba  0.5000  0.2078  0.0198
Ba  0.0000  0.8811  0.6179
Ba  0.0000  0.5198  0.2922
Ba  0.5000  0.5000  0.5000
Ba  0.5000  0.9802  0.7922
Ba  0.5000  0.1179  0.6189
Ba  0.0000  0.1189  0.3821
Ba  0.0000  0.2922  0.5198
Ba  0.0000  0.1754  0.8246
Ba  0.5000  0.3246  0.3246
Ba  0.0000  0.8246  0.1754
Ba  0.5000  0.6754  0.6754
Ba  0.5000  0.0198  0.2078
Ba  0.5000  0.7922  0.9802
Ba  0.5000  0.6189  0.1179
Ba  0.0000  0.0000  0.0000
Ba  0.0000  0.4802  0.7078
Ba  0.5000  0.8821  0.3811
Ba  0.0000  0.7078  0.4802
Ba  0.5000  0.3811  0.8821
Ba  0.0000  0.3821  0.1189
Ba  0.0000  0.6179  0.8811
N  0.5000  0.4653  0.1875
N  0.5000  0.0955  0.9045
N  0.5000  0.6241  0.3759
N  0.5000  0.7325  0.2675
N  0.0000  0.9653  0.3125
N  0.0000  0.8759  0.8759
N  0.5000  0.1875  0.4653
N  0.0000  0.2325  0.2325
N  0.5000  0.9045  0.0955
N  0.0000  0.4045  0.4045
N  0.5000  0.2675  0.7325
N  0.0000  0.5955  0.5955
N  0.0000  0.3125  0.9653
N  0.0000  0.7675  0.7675
N  0.5000  0.5347  0.8125
N  0.5000  0.3759  0.6241
N  0.0000  0.0347  0.6875
N  0.5000  0.8125  0.5347
N  0.0000  0.6875  0.0347
N  0.0000  0.1241  0.1241
C  0.5000  0.6784  0.3216
C  0.0000  0.1784  0.1784
C  0.0000  0.8216  0.8216
C  0.5000  0.3216  0.6784

Raw formation energy, eV/atom: -0.598
Space-group type: P4_2/mnm, No. 136

CoNi3W: relaxed, PBEsol.

Lattice parameters (Å, degrees): 4.0994 4.0994 4.0994 90.00 90.00 90.00
Each line ends with the local moment (μB).
Fractional coordinates of all 5 atoms:
Ni  0.0000  0.5000  0.0000  0.73
Ni  0.5000  0.0000  0.0000  0.73
Ni  0.0000  0.0000  0.5000  0.73
W  0.5000  0.5000  0.5000  1.15
Co  0.0000  0.0000  0.0000  1.81

Space-group type: Pm-3m, No. 221

BaWCl: relaxed, PBEsol.

Lattice parameters (Å, degrees): 5.1708 5.1708 5.1708 60.00 60.00 60.00
Each line ends with the local moment (μB).
Fractional coordinates of all 3 atoms:
Cl  0.2500  0.2500  0.2500  0.06
Ba  0.5000  0.5000  0.5000  0.11
W  0.0000  0.0000  0.0000  3.31

Raw formation energy, eV/atom: 1.135
Space-group type: F-43m, No. 216

CsRbO2: relaxed, PBEsol.

Lattice parameters (Å, degrees): 4.4885 4.4885 7.7942 73.27 73.27 60.00
Fractional coordinates of all 4 atoms:
O  0.9080  0.9080  0.2761
O  0.0920  0.0920  0.7239
Cs  0.5000  0.5000  0.5000
Rb  0.0000  0.0000  0.0000

Raw formation energy, eV/atom: -0.273
Space-group type: R-3m, No. 166

Y2MnCl: relaxed, PBEsol.

Lattice parameters (Å, degrees): 3.1865 5.1516 5.1516 90.00 90.00 90.00
Each line ends with the local moment (μB).
Fractional coordinates of all 4 atoms:
Y  0.0000  0.0000  0.5000  -0.26
Y  0.0000  0.5000  0.0000  -0.26
Cl  0.5000  0.5000  0.5000  0.01
Mn  0.5000  0.0000  0.0000  3.10

Raw formation energy, eV/atom: -0.285
Space-group type: P4/mmm, No. 123

CuNi3S8: relaxed, PBEsol.

Lattice parameters (Å, degrees): 5.5623 5.5623 5.5623 90.35 90.35 90.35
Fractional coordinates of all 12 atoms:
S  0.6083  0.6083  0.6083
S  0.3917  0.3917  0.3917
S  0.8883  0.1108  0.5977
S  0.1108  0.5977  0.8883
S  0.4023  0.1117  0.8892
S  0.5977  0.8883  0.1108
S  0.8892  0.4023  0.1117
S  0.1117  0.8892  0.4023
Ni  0.5000  0.5000  0.0000
Ni  0.0000  0.5000  0.5000
Ni  0.5000  0.0000  0.5000
Cu  0.0000  0.0000  0.0000

Raw formation energy, eV/atom: -0.319
Space-group type: R-3, No. 148

RbNbAlPt2: relaxed, PBEsol.

Lattice parameters (Å, degrees): 4.9397 4.9397 5.1697 90.00 90.00 90.00
Fractional coordinates of all 5 atoms:
Nb  0.0000  0.0000  0.0000
Rb  0.5000  0.5000  0.5000
Pt  0.5000  0.0000  0.0000
Pt  0.0000  0.5000  0.0000
Al  0.0000  0.0000  0.5000

Space-group type: P4/mmm, No. 123

no.,VASP energy (eV per atom)
1,-4.213
2,-5.830
3,-5.286
4,-5.317
5,-3.191
6,-6.171
7,-6.606
8,-4.853
9,-3.389
10,-6.638
11,-5.142
12,-5.400